VASP calculation (PBE) on a relaxed Ho4CuAgRu2 crystal.

Cell: 8.4671 8.4671 8.4671 Å, 33.54 33.54 33.54°
Closest atoms and distances in Å follow each position.
Sites, in units of the cell vectors:
Ho: 0.1226 0.1226 0.1226  1 Cu 2.94, 4 Ru 2.98-3.06, 3 Ag 3.01
Ho: 0.3729 0.3729 0.3729  4 Ru 2.94-3.01, 3 Cu 2.98, 1 Ag 3.04
Ho: 0.6271 0.6271 0.6271  4 Ru 2.94-3.01, 3 Cu 2.98, 1 Ag 3.04
Ho: 0.8774 0.8774 0.8774  1 Cu 2.94, 4 Ru 2.98-3.06, 3 Ag 3.01
Cu: 0.0000 0.0000 0.0000  8 Ho 2.94-2.98
Ag: 0.5000 0.5000 0.5000  8 Ho 3.01-3.04
Ru: 0.2503 0.2503 0.2503  8 Ho 2.94-3.06
Ru: 0.7497 0.7497 0.7497  8 Ho 2.94-3.06

Computed properties:
Uncorrected energy in eV/atom: -5.84
ΔH_f (0 K) in eV per atom: -0.367